VASP calculation (PBE with a Hubbard U) on crystalline LaNi2NF at its relaxed geometry.

Values from the calculation:
Total magnetic moment = 1.11 μB per formula unit
Energy = -0.1544 hartree per atom

a = 3.7486 Å, b = 3.7486 Å, c = 6.0070 Å
α = 90.00°, β = 90.00°, γ = 90.00°
Fractional positions:
La (0.0000, 0.0000, 0.0000)
Ni (0.0000, 0.5000, 0.5000)
Ni (0.5000, 0.0000, 0.5000)
N (0.5000, 0.5000, 0.0000)
F (0.5000, 0.5000, 0.5000)